Record 1
DFT (PBEsol) results for a relaxed structure of ScRePdBr2.

## Properties
The crystal system is tetragonal. As for the uncorrected formation energy: 1002 meV/atom.

```
data_ScRePdBr2
_chemical_formula_sum 'Sc1 Re1 Pd1 Br2'
_space_group_name_H-M_alt 'P 1'
_space_group_IT_number 1
_cell_length_a 4.965
_cell_length_b 4.965
_cell_length_c 5.260
_cell_angle_alpha 90.00
_cell_angle_beta 90.00
_cell_angle_gamma 90.00
loop_
_space_group_symop_operation_xyz
'x,y,z'
loop_
_atom_site_label
_atom_site_fract_x
_atom_site_fract_y
_atom_site_fract_z
Re1 0.000 0.000 0.500
Br1 0.000 0.500 0.000
Br2 0.500 0.000 0.000
Pd1 0.500 0.500 0.500
Sc1 0.000 0.000 0.000
```



Record 2
DFT (PBEsol) results for a relaxed structure of LaBi3Au.

## Properties
The crystal system is cubic. Its formation enthalpy at 0 K is 0.923 eV/atom.

```
data_LaBi3Au
_chemical_formula_sum 'La1 Bi3 Au1'
_space_group_name_H-M_alt 'P 1'
_space_group_IT_number 1
_cell_length_a 5.998
_cell_length_b 5.998
_cell_length_c 5.998
_cell_angle_alpha 90.00
_cell_angle_beta 90.00
_cell_angle_gamma 90.00
loop_
_space_group_symop_operation_xyz
'x,y,z'
loop_
_atom_site_label
_atom_site_fract_x
_atom_site_fract_y
_atom_site_fract_z
La1 0.000 0.000 0.000
Bi1 0.000 0.500 0.000
Bi2 0.500 0.000 0.000
Bi3 0.000 0.000 0.500
Au1 0.500 0.500 0.500
```



Record 3
DFT (PBEsol) results for a relaxed structure of Nb3TlH.

## Properties
The crystal system is cubic. The total DFT energy (no corrections) comes out at -24.2 eV for the cell shown.

```
data_Nb3TlH
_chemical_formula_sum 'Nb3 Tl1 H1'
_space_group_name_H-M_alt 'P 1'
_space_group_IT_number 1
_cell_length_a 5.105
_cell_length_b 5.105
_cell_length_c 5.105
_cell_angle_alpha 90.00
_cell_angle_beta 90.00
_cell_angle_gamma 90.00
loop_
_space_group_symop_operation_xyz
'x,y,z'
loop_
_atom_site_label
_atom_site_fract_x
_atom_site_fract_y
_atom_site_fract_z
Nb1 0.500 0.000 0.000
Nb2 0.000 0.000 0.500
Nb3 0.000 0.500 0.000
H1 0.500 0.500 0.500
Tl1 0.000 0.000 0.000
```